[1]
# BeNbPS2 | Alexandria | PBE-GGA | relaxed
# Energy (eV/cell): -25.1
# Energy above the lowest structure with this stoichiometry (eV/f.u.): 0.38
# Formation energy (no corrections) (eV/atom): 0.47
data_BeNbPS2
_cell_length_a 4.729
_cell_length_b 4.729
_cell_length_c 4.978
_cell_angle_alpha 90.00
_cell_angle_beta 90.00
_cell_angle_gamma 90.00
_space_group_name_H-M_alt 'P 4/m m m'
_space_group_IT_number 123
_space_group_name_Hall '-P 4 2'
loop_
_atom_site_label
_atom_site_fract_x
_atom_site_fract_y
_atom_site_fract_z
_atom_site_occupancy
Be1 0.000 0.000 0.000 1
Nb1 0.500 0.500 0.500 1
P1 0.500 0.500 0.000 1
S1 0.000 0.500 0.500 1

***

[2]
# Pm3MgAl8 | Alexandria | PBE-GGA | relaxed
# Energy (eV/cell): -151.2
data_Pm3MgAl8
_cell_length_a 5.6089
_cell_length_b 5.6089
_cell_length_c 27.4967
_cell_angle_alpha 90.00
_cell_angle_beta 90.00
_cell_angle_gamma 120.00
_space_group_name_H-M_alt 'R 3 m'
_space_group_IT_number 160
_space_group_name_Hall 'R 3 -2"'
loop_
_atom_site_label
_atom_site_fract_x
_atom_site_fract_y
_atom_site_fract_z
_atom_site_occupancy
Pm1 0.0000 0.0000 0.0000 1
Pm2 0.0000 0.0000 0.1285 1
Pm3 0.0000 0.0000 0.6223 1
Mg1 0.0000 0.0000 0.5002 1
Al1 0.0000 0.0000 0.3132 1
Al2 0.0000 0.0000 0.8138 1
Al3 0.0022 0.5011 0.5636 1
Al4 0.1670 0.3340 0.3972 1